Crystalline TlAs2PtO8 at its relaxed geometry, computed with PBE-GGA.

Computed properties:
Mass density (g/cm3): 5.99
Crystal system: trigonal
Energy relative to the elements, uncorrected (kcal/mol of atoms): -19.48
V (Å³ per atom): 15.64
D(E_F) (states/eV/f.u.): 9.073

Cell: 4.9747 4.9747 9.2149 Å, 74.34 74.34 60.00°
Closest atoms and distances in Å follow each position.
Positions (direct):
Tl  0.5000  0.5000  0.5000  6 O 3.03
O  0.7967  0.7967  0.6100  1 As 1.69
O  0.6292  0.2767  0.1353  1 As 1.75
O  0.7233  0.0412  0.8647  1 As 1.75
O  0.9588  0.6292  0.1353  1 As 1.75
O  0.2767  0.9588  0.1353  1 As 1.75
O  0.3708  0.7233  0.8647  1 As 1.75
O  0.2033  0.2033  0.3900  1 As 1.69
O  0.0412  0.3708  0.8647  1 As 1.75
Pt  0.0000  0.0000  0.0000  6 O 2.00
As  0.7323  0.7323  0.8030  4 O 1.69-1.75
As  0.2677  0.2677  0.1970  4 O 1.69-1.75